MnCu2Ag | PBE-GGA | optimized geometry

a = 4.6051 Å, b = 4.6051 Å, c = 2.7941 Å
α = 90.00°, β = 90.00°, γ = 106.46°
Site moments in Bohr magnetons follow the coordinates.
Positions (direct):
Cu 0.0000 0.0000 0.0000  0.08
Cu 0.5000 0.5000 0.0000  0.08
Ag 0.0000 0.5000 0.5000  0.01
Mn 0.5000 0.0000 0.5000  3.67

Computed properties:
ΔH_f (0 K), eV per atom: 0.2004
Energy above the lowest structure with this stoichiometry, meV/atom: 52